Below is an optimized crystal structure of SrPm2Ga3, with properties calculated at the PBE level.

Cell lengths 3.742, 3.742, 11.232 Å; angles 90.00, 90.00, 90.00 degrees
Atoms (fractional coordinates):
Sr (0.000, 0.000, 0.000)
Pm (0.000, 0.000, 0.337)
Pm (0.000, 0.000, 0.663)
Ga (0.500, 0.500, 0.187)
Ga (0.500, 0.500, 0.500)
Ga (0.500, 0.500, 0.813)

## Properties
The formation energy comes out at -484 meV per atom. For the total moment, the calculation gives 0.000 μB per atom. The calculated total energy is -23.2 eV per cell.